(1)
# NiOs3Rh, relaxed, DFT PBE
data_NiOs3Rh
_chemical_formula_sum 'Ni1 Os3 Rh1'
_symmetry_space_group_name_H-M 'P m -3 m'
_symmetry_Int_Tables_number 221
_symmetry_space_group_name_Hall '-P 4 2 3'
_cell_length_a 4.636
_cell_length_b 4.636
_cell_length_c 4.636
_cell_angle_alpha 90.00
_cell_angle_beta 90.00
_cell_angle_gamma 90.00
loop_
_atom_site_label
_atom_site_type_symbol
_atom_site_fract_x
_atom_site_fract_y
_atom_site_fract_z
Ni1 Ni 0.000 0.000 0.000
Os1 Os 0.000 0.500 0.500
Rh1 Rh 0.500 0.500 0.500
# - Theoretical density: 12.2 g/cm³
# - E_tot: -33.2 eV/cell

(2)
# Ni3OsRh2, relaxed, DFT PBE
data_Ni3OsRh2
_chemical_formula_sum 'Ni12 Os4 Rh8'
_symmetry_space_group_name_H-M 'C 1 2/c 1'
_symmetry_Int_Tables_number 15
_cell_length_a 12.942
_cell_length_b 5.179
_cell_length_c 4.543
_cell_angle_alpha 90.00
_cell_angle_beta 90.40
_cell_angle_gamma 90.00
loop_
_symmetry_equiv_pos_as_xyz
'x,y,z'
'-x,-y,-z'
'-x,y,-z+1/2'
'x,-y,z+1/2'
'x+1/2,y+1/2,z'
'-x+1/2,-y+1/2,-z'
'-x+1/2,y+1/2,-z+1/2'
'x+1/2,-y+1/2,z+1/2'
loop_
_atom_site_label
_atom_site_type_symbol
_atom_site_fract_x
_atom_site_fract_y
_atom_site_fract_z
Ni1 Ni 0.000 0.111 0.250
Ni2 Ni 0.164 0.124 0.915
Os1 Os 0.000 0.374 0.750
Rh1 Rh 0.166 0.373 0.410
# - Theoretical density: 12.5 g/cm³
# - E_tot: -171.5 eV/cell

(3)
# NiOsRh4, relaxed, DFT PBE
data_NiOsRh4
_chemical_formula_sum 'Ni1 Os1 Rh4'
_symmetry_space_group_name_H-M 'P m m m'
_symmetry_Int_Tables_number 47
_cell_length_a 2.702
_cell_length_b 3.806
_cell_length_c 8.063
_cell_angle_alpha 90.00
_cell_angle_beta 90.00
_cell_angle_gamma 90.00
loop_
_symmetry_equiv_pos_as_xyz
'x,y,z'
'-x,-y,-z'
'-x,-y,z'
'x,y,-z'
'x,-y,-z'
'-x,y,z'
'-x,y,-z'
'x,-y,z'
loop_
_atom_site_label
_atom_site_type_symbol
_atom_site_fract_x
_atom_site_fract_y
_atom_site_fract_z
Ni1 Ni 0.000 0.000 0.000
Os1 Os 0.500 0.500 0.500
Rh1 Rh 0.000 0.000 0.334
Rh2 Rh 0.500 0.500 0.162
# - Theoretical density: 13.2 g/cm³
# - E_tot: -46.0 eV/cell

(4)
# NiOsRh6, relaxed, DFT PBE
data_NiOsRh6
_chemical_formula_sum 'Ni1 Os1 Rh6'
_symmetry_space_group_name_H-M 'P 4/m m m'
_symmetry_Int_Tables_number 123
_symmetry_space_group_name_Hall '-P 4 2'
_cell_length_a 3.814
_cell_length_b 3.814
_cell_length_c 7.637
_cell_angle_alpha 90.00
_cell_angle_beta 90.00
_cell_angle_gamma 90.00
loop_
_atom_site_label
_atom_site_type_symbol
_atom_site_fract_x
_atom_site_fract_y
_atom_site_fract_z
Ni1 Ni 0.000 0.000 0.000
Os1 Os 0.000 0.000 0.500
Rh1 Rh 0.000 0.500 0.251
Rh2 Rh 0.500 0.500 0.000
Rh3 Rh 0.500 0.500 0.500
# - Theoretical density: 12.9 g/cm³
# - E_tot: -60.9 eV/cell

(5)
# NiOsRh4, relaxed, DFT PBE
data_NiOsRh4
_chemical_formula_sum 'Ni4 Os4 Rh16'
_symmetry_space_group_name_H-M 'F -4 3 m'
_symmetry_Int_Tables_number 216
_symmetry_space_group_name_Hall 'F -4 2 3'
_cell_length_a 7.088
_cell_length_b 7.088
_cell_length_c 7.088
_cell_angle_alpha 90.00
_cell_angle_beta 90.00
_cell_angle_gamma 90.00
loop_
_atom_site_label
_atom_site_type_symbol
_atom_site_fract_x
_atom_site_fract_y
_atom_site_fract_z
Ni1 Ni 0.000 0.000 0.000
Os1 Os 0.250 0.250 0.750
Rh1 Rh 0.125 0.125 0.375
# - Theoretical density: 12.3 g/cm³
# - E_tot: -170.4 eV/cell

(6)
# NiOs2Rh, relaxed, DFT PBE
data_NiOs2Rh
_chemical_formula_sum 'Ni2 Os4 Rh2'
_symmetry_space_group_name_H-M 'C m m m'
_symmetry_Int_Tables_number 65
_symmetry_space_group_name_Hall '-C 2 2'
_cell_length_a 5.297
_cell_length_b 7.686
_cell_length_c 2.670
_cell_angle_alpha 90.00
_cell_angle_beta 90.00
_cell_angle_gamma 90.00
loop_
_atom_site_label
_atom_site_type_symbol
_atom_site_fract_x
_atom_site_fract_y
_atom_site_fract_z
Ni1 Ni 0.000 0.000 0.000
Os1 Os 0.250 0.250 0.500
Rh1 Rh 0.000 0.500 0.000
# - Theoretical density: 16.6 g/cm³
# - E_tot: -69.4 eV/cell

(7)
# NiOsRuRh, relaxed, DFT PBE
data_NiOsRuRh
_chemical_formula_sum 'Ni3 Os3 Ru3 Rh3'
_symmetry_space_group_name_H-M 'R 3 m'
_symmetry_Int_Tables_number 160
_symmetry_space_group_name_Hall 'R 3 -2"'
_cell_length_a 2.7105
_cell_length_b 2.7105
_cell_length_c 25.6363
_cell_angle_alpha 90.00
_cell_angle_beta 90.00
_cell_angle_gamma 120.00
loop_
_atom_site_label
_atom_site_type_symbol
_atom_site_fract_x
_atom_site_fract_y
_atom_site_fract_z
Ni1 Ni 0.0000 0.0000 0.0000
Os1 Os 0.0000 0.0000 0.1681
Ru1 Ru 0.0000 0.0000 0.5839
Rh1 Rh 0.0000 0.0000 0.4159
# - Theoretical density: 13.8 g/cm³
# - E_tot: -100.0 eV/cell

(8)
# NiSbOs2Rh, relaxed, DFT PBE
data_NiSbOs2Rh
_chemical_formula_sum 'Ni1 Sb1 Os2 Rh1'
_symmetry_space_group_name_H-M 'P 4/m m m'
_symmetry_Int_Tables_number 123
_symmetry_space_group_name_Hall '-P 4 2'
_cell_length_a 4.461
_cell_length_b 4.461
_cell_length_c 4.546
_cell_angle_alpha 90.00
_cell_angle_beta 90.00
_cell_angle_gamma 90.00
loop_
_atom_site_label
_atom_site_type_symbol
_atom_site_fract_x
_atom_site_fract_y
_atom_site_fract_z
Ni1 Ni 0.000 0.000 0.000
Sb1 Sb 0.000 0.000 0.500
Os1 Os 0.000 0.500 0.000
Rh1 Rh 0.500 0.500 0.500
# - Theoretical density: 12.2 g/cm³
# - E_tot: -31.7 eV/cell
# - Energy relative to the elements, uncorrected: 1604.1 meV/atom

(9)
# ScNiOsRh2, relaxed, DFT PBE
data_ScNiOsRh2
_chemical_formula_sum 'Sc1 Ni1 Os1 Rh2'
_symmetry_space_group_name_H-M 'P 4/m m m'
_symmetry_Int_Tables_number 123
_symmetry_space_group_name_Hall '-P 4 2'
_cell_length_a 4.523
_cell_length_b 4.523
_cell_length_c 4.354
_cell_angle_alpha 90.00
_cell_angle_beta 90.00
_cell_angle_gamma 90.00
loop_
_atom_site_label
_atom_site_type_symbol
_atom_site_fract_x
_atom_site_fract_y
_atom_site_fract_z
Sc1 Sc 0.000 0.000 0.000
Ni1 Ni 0.500 0.500 0.500
Os1 Os 0.500 0.500 0.000
Rh1 Rh 0.000 0.500 0.500
# - Theoretical density: 9.3 g/cm³
# - E_tot: -34.4 eV/cell

(10)
# TaNiOsRh, relaxed, DFT PBE
data_TaNiOsRh
_chemical_formula_sum 'Ta1 Ni1 Os1 Rh1'
_symmetry_space_group_name_H-M 'P m m m'
_symmetry_Int_Tables_number 47
_cell_length_a 3.737
_cell_length_b 3.869
_cell_length_c 3.942
_cell_angle_alpha 90.00
_cell_angle_beta 90.00
_cell_angle_gamma 90.00
loop_
_symmetry_equiv_pos_as_xyz
'x,y,z'
'-x,-y,-z'
'-x,-y,z'
'x,y,-z'
'x,-y,-z'
'-x,y,z'
'-x,y,-z'
'x,-y,z'
loop_
_atom_site_label
_atom_site_type_symbol
_atom_site_fract_x
_atom_site_fract_y
_atom_site_fract_z
Ta1 Ta 0.000 0.000 0.000
Ni1 Ni 0.000 0.500 0.500
Os1 Os 0.500 0.500 0.000
Rh1 Rh 0.500 0.000 0.500
# - Theoretical density: 15.5 g/cm³
# - E_tot: -37.5 eV/cell

(11)
# Tc2NiOsRh, relaxed, DFT PBE
data_Tc2NiOsRh
_chemical_formula_sum 'Tc2 Ni1 Os1 Rh1'
_symmetry_space_group_name_H-M 'P 4/m m m'
_symmetry_Int_Tables_number 123
_symmetry_space_group_name_Hall '-P 4 2'
_cell_length_a 4.337
_cell_length_b 4.337
_cell_length_c 4.393
_cell_angle_alpha 90.00
_cell_angle_beta 90.00
_cell_angle_gamma 90.00
loop_
_atom_site_label
_atom_site_type_symbol
_atom_site_fract_x
_atom_site_fract_y
_atom_site_fract_z
Tc1 Tc 0.000 0.500 0.000
Ni1 Ni 0.000 0.000 0.000
Os1 Os 0.000 0.000 0.500
Rh1 Rh 0.500 0.500 0.500
# - Theoretical density: 11.0 g/cm³
# - E_tot: -37.2 eV/cell

(12)
# VNiOsRh, relaxed, DFT PBE
data_VNiOsRh
_chemical_formula_sum 'V1 Ni1 Os1 Rh1'
_symmetry_space_group_name_H-M 'P m m m'
_symmetry_Int_Tables_number 47
_cell_length_a 3.570
_cell_length_b 3.787
_cell_length_c 3.877
_cell_angle_alpha 90.00
_cell_angle_beta 90.00
_cell_angle_gamma 90.00
loop_
_symmetry_equiv_pos_as_xyz
'x,y,z'
'-x,-y,-z'
'-x,-y,z'
'x,y,-z'
'x,-y,-z'
'-x,y,z'
'-x,y,-z'
'x,-y,z'
loop_
_atom_site_label
_atom_site_type_symbol
_atom_site_fract_x
_atom_site_fract_y
_atom_site_fract_z
V1 V 0.000 0.000 0.000
Ni1 Ni 0.000 0.500 0.500
Os1 Os 0.500 0.500 0.000
Rh1 Rh 0.500 0.000 0.500
# - Theoretical density: 12.8 g/cm³
# - E_tot: -34.3 eV/cell

(13)
# VNiOsRh, relaxed, DFT PBE
data_VNiOsRh
_chemical_formula_sum 'V4 Ni4 Os4 Rh4'
_symmetry_space_group_name_H-M 'F -4 3 m'
_symmetry_Int_Tables_number 216
_symmetry_space_group_name_Hall 'F -4 2 3'
_cell_length_a 5.957
_cell_length_b 5.957
_cell_length_c 5.957
_cell_angle_alpha 90.00
_cell_angle_beta 90.00
_cell_angle_gamma 90.00
loop_
_atom_site_label
_atom_site_type_symbol
_atom_site_fract_x
_atom_site_fract_y
_atom_site_fract_z
V1 V 0.000 0.000 0.000
Ni1 Ni 0.000 0.000 0.500
Os1 Os 0.250 0.250 0.750
Rh1 Rh 0.250 0.250 0.250
# - Theoretical density: 12.7 g/cm³
# - E_tot: -135.2 eV/cell

(14)
# NiOs2RhW, relaxed, DFT PBE
data_NiOs2RhW
_chemical_formula_sum 'Ni1 Os2 Rh1 W1'
_symmetry_space_group_name_H-M 'P 4/m m m'
_symmetry_Int_Tables_number 123
_symmetry_space_group_name_Hall '-P 4 2'
_cell_length_a 4.374
_cell_length_b 4.374
_cell_length_c 4.366
_cell_angle_alpha 90.00
_cell_angle_beta 90.00
_cell_angle_gamma 90.00
loop_
_atom_site_label
_atom_site_type_symbol
_atom_site_fract_x
_atom_site_fract_y
_atom_site_fract_z
Ni1 Ni 0.000 0.000 0.000
Os1 Os 0.000 0.500 0.000
Rh1 Rh 0.500 0.500 0.500
W1 W 0.000 0.000 0.500
# - Theoretical density: 14.4 g/cm³
# - E_tot: -40.2 eV/cell